# 1
{
  "formula": "Li2ZrCdTe",
  "functional": "PBE",
  "state": "relaxed",
  "lattice_angstrom": [[4.803, 0.000, 0.000], [0.000, 6.188, 0.000], [0.000, 0.000, 4.803]],
  "species": ["Te", "Li", "Li", "Zr", "Cd"],
  "fractional_positions": [[0.000, 0.000, 0.000], [0.000, 0.000, 0.500], [0.500, 0.000, 0.000], [0.500, 0.500, 0.500], [0.000, 0.500, 0.000]],
  "dos_at_fermi_per_ev_atom": 1.268,
  "final_energy_ev_per_atom": -2.884,
  "magnetic_moment_mub_per_cell": 2.30,
  "sg": "P4/mmm, No. 123",
  "formation_energy_uncorrected_mev_per_atom": 402
}

---

# 2
{
  "formula": "ScTc3Bi",
  "functional": "PBE",
  "state": "relaxed",
  "lattice_angstrom": [[-0.832, 4.173, 2.010], [-4.618, -0.590, -0.686], [-0.356, -2.094, 4.200]],
  "species": ["Sc", "Bi", "Tc", "Tc", "Tc"],
  "fractional_positions": [[0.000, 0.000, 0.000], [0.500, 0.500, 0.500], [0.000, 0.500, 0.000], [0.000, 0.000, 0.500], [0.500, 0.000, 0.000]],
  "dos_at_fermi_per_ev_atom": 1.090,
  "final_energy_ev_per_atom": -6.682,
  "magnetic_moment_mub_per_cell": 2.91,
  "relative_energy_mev_per_atom": 0,
  "sg": "Pm-3m, No. 221",
  "delta_e_f_ev_per_atom": 1.58
}

---

# 3
{
  "formula": "HoZr2Cd6",
  "functional": "PBE",
  "state": "relaxed",
  "lattice_angstrom": [[-1.819, 0.724, 5.537], [5.443, -1.503, 1.614], [1.382, 5.670, -0.658]],
  "species": ["Ho", "Zr", "Zr", "Cd", "Cd", "Cd", "Cd", "Cd", "Cd"],
  "fractional_positions": [[0.000, 0.000, 0.000], [0.653, 0.653, 0.653], [0.347, 0.347, 0.347], [0.166, 0.500, 0.833], [0.834, 0.167, 0.500], [0.834, 0.500, 0.167], [0.500, 0.166, 0.834], [0.166, 0.833, 0.500], [0.500, 0.834, 0.166]],
  "dos_at_fermi_per_ev_atom": 0.700,
  "final_energy_ev_per_atom": -3.169,
  "magnetic_moment_mub_per_cell": 0.00,
  "sg": "R-3m, No. 166",
  "delta_e_f_ev_per_atom": -0.15
}

---

# 4
{
  "formula": "Cs2RbHg6",
  "functional": "PBE",
  "state": "relaxed",
  "lattice_angstrom": [[-3.927, -2.676, 0.998], [-2.265, -4.477, -9.107], [2.656, -9.513, -3.248]],
  "species": ["Cs", "Cs", "Rb", "Hg", "Hg", "Hg", "Hg", "Hg", "Hg"],
  "fractional_positions": [[0.350, 0.150, 0.150], [0.650, 0.850, 0.850], [0.500, 0.500, 0.500], [0.157, 0.513, 0.173], [0.843, 0.487, 0.827], [0.843, 0.827, 0.487], [0.000, 0.173, 0.827], [0.000, 0.827, 0.173], [0.157, 0.173, 0.513]],
  "dos_at_fermi_per_ev_atom": 0.531,
  "final_energy_ev_per_atom": -0.719,
  "magnetic_moment_mub_per_cell": 0.00,
  "relative_energy_mev_per_atom": 39,
  "sg": "Immm, No. 71",
  "delta_e_f_ev_per_atom": -0.22
}